Hf2BeHAu | PBE | optimized geometry

abc: 4.280 4.280 3.950
angles: 90.00 90.00 90.00
Sites, in units of the cell vectors:
Hf1 0.000 0.500 0.000
Hf2 0.500 0.000 0.000
Au1 0.500 0.500 0.500
H1 0.000 0.000 0.000
Be1 0.000 0.000 0.500

Summary:
Size of the total moment ... 0.000 Bohr magnetons per cell
E_tot ... -6.22 eV per atom